No. 1
Compound: MgHgRh2
Source: Alexandria via LeMat-Bulk
Functional: PBE
Structure: relaxed

**ΔH_f (0 K)**: -0.11 eV per atom
**D(E_F)**: 9.9 states/eV/cell

CIF file:
```
data_MgHgRh2
_chemical_formula_sum 'Mg2 Hg2 Rh4'
_cell_length_a 4.039
_cell_length_b 4.039
_cell_length_c 8.042
_cell_angle_alpha 90.00
_cell_angle_beta 90.00
_cell_angle_gamma 90.00
_symmetry_space_group_name_H-M 'I -4 m 2'
_symmetry_Int_Tables_number 119
_symmetry_space_group_name_Hall 'I -4 -2'
loop_
_atom_site_label
_atom_site_fract_x
_atom_site_fract_y
_atom_site_fract_z
Mg1 0.000 0.000 0.000
Hg1 0.000 0.500 0.250
Rh1 0.000 0.000 0.500
Rh2 0.000 0.500 0.750
```


No. 2
Compound: MgHgRh2
Source: Alexandria via LeMat-Bulk
Functional: PBE
Structure: relaxed

**ΔH_f (0 K)**: -0.06 eV per atom
**D(E_F)**: 3.3 states/eV/cell

CIF file:
```
data_MgHgRh2
_chemical_formula_sum 'Mg1 Hg1 Rh2'
_cell_length_a 3.125
_cell_length_b 4.465
_cell_length_c 4.721
_cell_angle_alpha 90.00
_cell_angle_beta 90.00
_cell_angle_gamma 90.00
_symmetry_space_group_name_H-M 'P m m m'
_symmetry_Int_Tables_number 47
_symmetry_space_group_name_Hall '-P 2 2'
loop_
_atom_site_label
_atom_site_fract_x
_atom_site_fract_y
_atom_site_fract_z
Mg1 0.000 0.000 0.000
Hg1 0.500 0.000 0.500
Rh1 0.000 0.500 0.500
Rh2 0.500 0.500 0.000
```


No. 3
Compound: Mg3Hg3Rh2
Source: Alexandria via LeMat-Bulk
Functional: PBE
Structure: relaxed

**ΔH_f (0 K)**: -0.29 eV per atom
**D(E_F)**: 4.2 states/eV/cell

CIF file:
```
data_Mg3Hg3Rh2
_chemical_formula_sum 'Mg3 Hg3 Rh2'
_cell_length_a 7.3577
_cell_length_b 7.3577
_cell_length_c 3.2152
_cell_angle_alpha 90.00
_cell_angle_beta 90.00
_cell_angle_gamma 120.00
_symmetry_space_group_name_H-M 'P -6 2 m'
_symmetry_Int_Tables_number 189
_symmetry_space_group_name_Hall 'P -6 -2'
loop_
_atom_site_label
_atom_site_fract_x
_atom_site_fract_y
_atom_site_fract_z
Mg1 0.0000 0.5830 0.0000
Hg1 0.0000 0.2396 0.5000
Rh1 0.3333 0.6667 0.5000
```


No. 4
Compound: Mg3HgRh2
Source: Alexandria via LeMat-Bulk
Functional: PBE
Structure: relaxed

**ΔH_f (0 K)**: -0.43 eV per atom
**D(E_F)**: 1.7 states/eV/cell

CIF file:
```
data_Mg3HgRh2
_chemical_formula_sum 'Mg3 Hg1 Rh2'
_cell_length_a 3.267
_cell_length_b 3.267
_cell_length_c 9.446
_cell_angle_alpha 90.00
_cell_angle_beta 90.00
_cell_angle_gamma 90.00
_symmetry_space_group_name_H-M 'P 4/m m m'
_symmetry_Int_Tables_number 123
_symmetry_space_group_name_Hall '-P 4 2'
loop_
_atom_site_label
_atom_site_fract_x
_atom_site_fract_y
_atom_site_fract_z
Mg1 0.000 0.000 0.000
Mg2 0.000 0.000 0.304
Hg1 0.500 0.500 0.500
Rh1 0.500 0.500 0.160
```


No. 5
Compound: Mg5Hg2Rh
Source: Alexandria via LeMat-Bulk
Functional: PBE
Structure: relaxed

**ΔH_f (0 K)**: -0.27 eV per atom
**D(E_F)**: 5.5 states/eV/cell

CIF file:
```
data_Mg5Hg2Rh
_chemical_formula_sum 'Mg10 Hg4 Rh2'
_cell_length_a 5.952
_cell_length_b 11.336
_cell_length_c 4.635
_cell_angle_alpha 90.00
_cell_angle_beta 90.00
_cell_angle_gamma 90.00
_symmetry_space_group_name_H-M 'P b a m'
_symmetry_Int_Tables_number 55
_symmetry_space_group_name_Hall '-P 2 2ab'
loop_
_atom_site_label
_atom_site_fract_x
_atom_site_fract_y
_atom_site_fract_z
Mg1 0.000 0.000 0.000
Mg2 0.117 0.271 0.000
Mg3 0.155 0.603 0.500
Hg1 0.148 0.864 0.500
Rh1 0.000 0.500 0.000
```


No. 6
Compound: MgHgRh4
Source: Alexandria via LeMat-Bulk
Functional: PBE
Structure: relaxed

**ΔH_f (0 K)**: 0.02 eV per atom
**D(E_F)**: 39.5 states/eV/cell

CIF file:
```
data_MgHgRh4
_chemical_formula_sum 'Mg4 Hg4 Rh16'
_cell_length_a 7.360
_cell_length_b 7.360
_cell_length_c 7.360
_cell_angle_alpha 90.00
_cell_angle_beta 90.00
_cell_angle_gamma 90.00
_symmetry_space_group_name_H-M 'F -4 3 m'
_symmetry_Int_Tables_number 216
_symmetry_space_group_name_Hall 'F -4 2 3'
loop_
_atom_site_label
_atom_site_fract_x
_atom_site_fract_y
_atom_site_fract_z
Mg1 0.000 0.000 0.000
Hg1 0.250 0.250 0.250
Rh1 0.125 0.125 0.625
```


No. 7
Compound: MgHgRh2
Source: Alexandria via LeMat-Bulk
Functional: PBE
Structure: relaxed

**ΔH_f (0 K)**: -0.02 eV per atom
**D(E_F)**: 11.0 states/eV/cell

CIF file:
```
data_MgHgRh2
_chemical_formula_sum 'Mg3 Hg3 Rh6'
_cell_length_a 2.9670
_cell_length_b 2.9670
_cell_length_c 26.1923
_cell_angle_alpha 90.00
_cell_angle_beta 90.00
_cell_angle_gamma 120.00
_symmetry_space_group_name_H-M 'R -3 m'
_symmetry_Int_Tables_number 166
_symmetry_space_group_name_Hall '-R 3 2"'
loop_
_atom_site_label
_atom_site_fract_x
_atom_site_fract_y
_atom_site_fract_z
Mg1 0.0000 0.0000 0.0000
Hg1 0.0000 0.0000 0.5000
Rh1 0.0000 0.0000 0.2537
```


No. 8
Compound: MgHgRh2
Source: Alexandria via LeMat-Bulk
Functional: PBE
Structure: relaxed

**ΔH_f (0 K)**: -0.15 eV per atom
**D(E_F)**: 4.0 states/eV/cell

CIF file:
```
data_MgHgRh2
_chemical_formula_sum 'Mg2 Hg2 Rh4'
_cell_length_a 10.298
_cell_length_b 2.965
_cell_length_c 4.789
_cell_angle_alpha 90.00
_cell_angle_beta 115.39
_cell_angle_gamma 90.00
_symmetry_space_group_name_H-M 'C 1 m 1'
_symmetry_Int_Tables_number 8
_symmetry_space_group_name_Hall 'C -2y'
loop_
_atom_site_label
_atom_site_fract_x
_atom_site_fract_y
_atom_site_fract_z
Mg1 0.000 0.000 0.000
Hg1 0.269 0.500 0.400
Rh1 0.021 0.500 0.502
Rh2 0.249 0.000 0.889
```


Number 1: theoretical density 10.91 g/cm³. Number 2: theoretical density 10.86 g/cm³. Number 3: theoretical density 9.70 g/cm³. Number 4: theoretical density 7.89 g/cm³. Number 5: theoretical density 6.64 g/cm³. Number 6: theoretical density 10.60 g/cm³. Number 7: theoretical density 10.75 g/cm³. Number 8: theoretical density 10.83 g/cm³.